1.
Computed, not measured: an optimized crystal structure of Nb4Tc3Os at the PBE-GGA level of DFT.

Calculated values
Calculated formation energy: -30 kJ/mol of atoms
Symmetry: Pmmm
M_tot: 0.00 μB/cell
V: 130.09 Å³ per cell

Unit cell a=3.1871 b=4.5197 c=9.0314 alpha=90.00 beta=90.00 gamma=90.00
Closest atoms and distances in Å follow each position.
Positions (direct):
1 Nb 0.0000 0.0000 0.0000  8 Tc 2.77-2.78
2 Nb 0.0000 0.0000 0.5000  4 Tc 2.75, 4 Os 2.77
3 Nb 0.0000 0.5000 0.2468  6 Tc 2.74-2.77, 2 Os 2.79
4 Nb 0.0000 0.5000 0.7532  6 Tc 2.74-2.77, 2 Os 2.79
5 Tc 0.5000 0.0000 0.2517  8 Nb 2.75-2.78
6 Tc 0.5000 0.0000 0.7483  8 Nb 2.75-2.78
7 Tc 0.5000 0.5000 0.0000  8 Nb 2.74-2.77
8 Os 0.5000 0.5000 0.5000  8 Nb 2.77-2.79



2.
Computed, not measured: an optimized crystal structure of MgCoSn at the PBE-GGA level of DFT.

Calculated values
Calculated formation energy: 10 kJ/mol of atoms
Symmetry: Cmmm
M_tot: 0.00 μB/cell
V: 124.81 Å³ per cell

Unit cell a=6.3958 b=6.3958 c=3.0516 alpha=90.00 beta=90.00 gamma=91.07
Closest atoms and distances in Å follow each position.
Positions (direct):
1 Mg 0.2231 0.7769 0.0000  3 Co 2.53-2.55
2 Mg 0.7769 0.2231 0.0000  3 Co 2.53-2.55
3 Co 0.0000 0.0000 0.5000  2 Sn 2.44, 4 Mg 2.55
4 Co 0.5000 0.5000 0.0000  2 Mg 2.53, 4 Sn 2.55
5 Sn 0.2725 0.2725 0.5000  3 Co 2.44-2.55
6 Sn 0.7275 0.7275 0.5000  3 Co 2.44-2.55



3.
Computed, not measured: an optimized crystal structure of Ac2TmGa4Pd3 at the PBE-GGA level of DFT.

Calculated values
Calculated formation energy: -69 kJ/mol of atoms
Symmetry: P-4m2
M_tot: 0.00 μB/cell
V: 224.93 Å³ per cell

Unit cell a=4.3440 b=4.3440 c=11.9197 alpha=90.00 beta=90.00 gamma=90.00
Closest atoms and distances in Å follow each position.
Positions (direct):
1 Ac 0.0000 0.5000 0.2284  4 Pd 3.32, 8 Ga 3.35-3.48
2 Ac 0.5000 0.0000 0.7716  4 Pd 3.32, 8 Ga 3.35-3.48
3 Tm 0.0000 0.0000 0.5000  4 Ga 2.89, 4 Pd 3.07
4 Ga 0.0000 0.0000 0.0000  4 Pd 2.62
5 Ga 0.0000 0.5000 0.6598  3 Pd 2.59-2.89, 2 Tm 2.89
6 Ga 0.5000 0.0000 0.3402  3 Pd 2.59-2.89, 2 Tm 2.89
7 Ga 0.5000 0.5000 0.0000  4 Pd 2.62
8 Pd 0.0000 0.5000 0.8774  5 Ga 2.59-2.62
9 Pd 0.5000 0.0000 0.1226  5 Ga 2.59-2.62
10 Pd 0.5000 0.5000 0.5000  4 Ga 2.89, 4 Tm 3.07



4.
Computed, not measured: an optimized crystal structure of VGa3N at the PBE-GGA level of DFT.

Calculated values
Symmetry: Pm-3m
M_tot: 2.80 μB/cell
V: 76.73 Å³ per cell
Offset from the most stable computed form: 0 meV/atom

Unit cell a=4.2494 b=4.2494 c=4.2494 alpha=90.00 beta=90.00 gamma=90.00
Closest atoms and distances in Å follow each position.
Positions (direct):
1 V 0.0000 0.0000 0.0000  12 Ga 3.00
2 Ga 0.0000 0.5000 0.5000  2 N 2.12
3 Ga 0.5000 0.0000 0.5000  2 N 2.12
4 Ga 0.5000 0.5000 0.0000  2 N 2.12
5 N 0.5000 0.5000 0.5000  6 Ga 2.12



5.
Computed, not measured: an optimized crystal structure of Zn3TcS at the PBE-GGA level of DFT.

Calculated values
Symmetry: Pm-3m
M_tot: 3.02 μB/cell
V: 118.02 Å³ per cell
Offset from the most stable computed form: 8 meV/atom

Unit cell a=4.9052 b=4.9052 c=4.9052 alpha=90.00 beta=90.00 gamma=90.00
Closest atoms and distances in Å follow each position.
Positions (direct):
1 Zn 0.0000 0.0000 0.5000  2 Tc 2.45
2 Zn 0.0000 0.5000 0.0000  2 Tc 2.45
3 Zn 0.5000 0.0000 0.0000  2 Tc 2.45
4 Tc 0.0000 0.0000 0.0000  6 Zn 2.45
5 S 0.5000 0.5000 0.5000  12 Zn 3.47



6.
Computed, not measured: an optimized crystal structure of TaReMo6 at the PBE-GGA level of DFT.

Calculated values
Calculated formation energy: 21 kJ/mol of atoms
Symmetry: R-3m
M_tot: 0.00 μB/cell
V: 131.66 Å³ per cell
Offset from the most stable computed form: 0 meV/atom

Unit cell a=5.6168 b=5.6168 c=5.6168 alpha=110.37 beta=110.37 gamma=110.37
Closest atoms and distances in Å follow each position.
Positions (direct):
1 Ta 0.0000 0.0000 0.0000  2 Re 2.68, 6 Mo 2.75
2 Re 0.5000 0.5000 0.5000  6 Mo 2.65, 2 Ta 2.68
3 Mo 0.2487 0.2487 0.7386  6 Mo 2.63-2.84, 1 Re 2.65, 1 Ta 2.75
4 Mo 0.2487 0.7386 0.2487  6 Mo 2.63-2.84, 1 Re 2.65, 1 Ta 2.75
5 Mo 0.2614 0.7513 0.7513  6 Mo 2.63-2.84, 1 Re 2.65, 1 Ta 2.75
6 Mo 0.7386 0.2487 0.2487  6 Mo 2.63-2.84, 1 Re 2.65, 1 Ta 2.75
7 Mo 0.7513 0.2614 0.7513  6 Mo 2.63-2.84, 1 Re 2.65, 1 Ta 2.75
8 Mo 0.7513 0.7513 0.2614  6 Mo 2.63-2.84, 1 Re 2.65, 1 Ta 2.75



What is the V in the fourth record? 76.73 Å³ per cell